# 1
# LiNi4Ge GGA-PBE relaxed
data_LiNi4Ge
_cell_length_a 4.714
_cell_length_b 4.714
_cell_length_c 4.714
_cell_angle_alpha 60.00
_cell_angle_beta 60.00
_cell_angle_gamma 60.00
_space_group_name_H-M_alt 'P 1'
_space_group_IT_number 1
_space_group_name_Hall 'P 1'
loop_
_atom_site_label
_atom_site_fract_x
_atom_site_fract_y
_atom_site_fract_z
Ni1 0.625 0.625 0.125
Ni2 0.625 0.125 0.625
Ni3 0.625 0.625 0.625
Ni4 0.125 0.625 0.625
Ge1 0.000 0.000 0.000
Li1 0.250 0.250 0.250
# distance to the lowest polymorph of the same formula	92	meV/atom
# DOS at the Fermi energy	7.82	states/eV/cell
# calculated density	7.05	Mg/m³
# ΔE_f	-54	meV/atom

# 2
# Na2Cd2Pt GGA-PBE relaxed
data_Na2Cd2Pt
_cell_length_a 3.008
_cell_length_b 6.358
_cell_length_c 6.414
_cell_angle_alpha 90.86
_cell_angle_beta 76.44
_cell_angle_gamma 76.32
_space_group_name_H-M_alt 'P 1'
_space_group_IT_number 1
_space_group_name_Hall 'P 1'
loop_
_atom_site_label
_atom_site_fract_x
_atom_site_fract_y
_atom_site_fract_z
Na1 0.796 0.641 0.768
Na2 0.204 0.359 0.232
Cd1 0.584 0.160 0.672
Cd2 0.416 0.840 0.328
Pt1 0.000 0.000 0.000
# distance to the lowest polymorph of the same formula	0	meV/atom
# DOS at the Fermi energy	1.63	states/eV/cell
# calculated density	6.70	Mg/m³
# ΔE_f	-181	meV/atom

# 3
# EuDyS2 GGA-PBE relaxed
data_EuDyS2
_cell_length_a 3.991
_cell_length_b 3.991
_cell_length_c 7.013
_cell_angle_alpha 73.47
_cell_angle_beta 73.47
_cell_angle_gamma 60.00
_space_group_name_H-M_alt 'P 1'
_space_group_IT_number 1
_space_group_name_Hall 'P 1'
loop_
_atom_site_label
_atom_site_fract_x
_atom_site_fract_y
_atom_site_fract_z
Eu1 0.500 0.500 0.500
S1 0.255 0.255 0.235
S2 0.745 0.745 0.765
Dy1 0.000 0.000 0.000
# DOS at the Fermi energy	1.65	states/eV/cell
# calculated density	6.88	Mg/m³
# ΔE_f (raw)	-48.07	kcal/mol of atoms

# 4
# SmMgGeAu GGA-PBE relaxed
data_SmMgGeAu
_cell_length_a 4.980
_cell_length_b 4.980
_cell_length_c 4.980
_cell_angle_alpha 60.00
_cell_angle_beta 60.00
_cell_angle_gamma 60.00
_space_group_name_H-M_alt 'P 1'
_space_group_IT_number 1
_space_group_name_Hall 'P 1'
loop_
_atom_site_label
_atom_site_fract_x
_atom_site_fract_y
_atom_site_fract_z
Ge1 0.250 0.250 0.250
Au1 0.750 0.750 0.750
Mg1 0.500 0.500 0.500
Sm1 0.000 0.000 0.000
# DOS at the Fermi energy	1.42	states/eV/cell
# calculated density	8.45	Mg/m³
# ΔE_f	-629	meV/atom

# 5
# ScNb2Fe GGA-PBE relaxed
data_ScNb2Fe
_cell_length_a 4.530
_cell_length_b 4.530
_cell_length_c 4.530
_cell_angle_alpha 60.00
_cell_angle_beta 60.00
_cell_angle_gamma 60.00
_space_group_name_H-M_alt 'P 1'
_space_group_IT_number 1
_space_group_name_Hall 'P 1'
loop_
_atom_site_label
_atom_site_fract_x
_atom_site_fract_y
_atom_site_fract_z
Sc1 0.000 0.000 0.000
Nb1 0.250 0.250 0.250
Nb2 0.750 0.750 0.750
Fe1 0.500 0.500 0.500
# distance to the lowest polymorph of the same formula	0	meV/atom
# DOS at the Fermi energy	5.53	states/eV/cell
# calculated density	7.24	Mg/m³
# ΔE_f	234	meV/atom

# 6
# Al2BrCl GGA-PBE relaxed
data_Al2BrCl
_cell_length_a 6.641
_cell_length_b 6.641
_cell_length_c 6.641
_cell_angle_alpha 143.18
_cell_angle_beta 143.18
_cell_angle_gamma 53.05
_space_group_name_H-M_alt 'P 1'
_space_group_IT_number 1
_space_group_name_Hall 'P 1'
loop_
_atom_site_label
_atom_site_fract_x
_atom_site_fract_y
_atom_site_fract_z
Al1 0.000 0.000 0.000
Al2 0.250 0.750 0.500
Br1 0.500 0.500 0.000
Cl1 0.750 0.250 0.500
# distance to the lowest polymorph of the same formula	507	meV/atom
# DOS at the Fermi energy	0.07	states/eV/cell
# calculated density	2.69	Mg/m³
# ΔE_f (raw)	-3.08	kcal/mol of atoms